# GGA+U Tl3InFe2F9, optimized geometry
data_Tl3InFe2F9
_chemical_formula_sum 'Tl3 In1 Fe2 F9'
_symmetry_space_group_name_H-M 'P -3 m 1'
_symmetry_Int_Tables_number 164
_symmetry_space_group_name_Hall '-P 3 2"'
_cell_length_a 6.0797
_cell_length_b 6.0797
_cell_length_c 8.1904
_cell_angle_alpha 90.00
_cell_angle_beta 90.00
_cell_angle_gamma 120.00
loop_
_atom_site_label
_atom_site_fract_x
_atom_site_fract_y
_atom_site_fract_z
_atom_site_occupancy
Tl1 0.0000 0.0000 0.0000 1
Tl2 0.3333 0.6667 0.6798 1
In1 0.0000 0.0000 0.5000 1
Fe1 0.3333 0.6667 0.1431 1
F1 0.0000 0.5000 0.0000 1
F2 0.1787 0.3574 0.2799 1
# * calculated volume: 17.5 Å³ per atom
# * density: 6.401 g/cm³
# * calculated total energy: -68.30 eV per cell